First-principles (PBEsol) data for RbNbP2O8 after structural relaxation, as listed in the Alexandria database.

Values from the calculation:
Space group: No. 14
N(E_F) (states/eV/f.u.): 0.00

a b c (Å): 5.242 12.082 13.036
angles (deg): 90.00 113.61 90.00
Element x y z (fractional)
Rb1 0.194 0.130 0.453
Rb2 0.194 0.370 0.953
Rb3 0.806 0.630 0.047
Rb4 0.806 0.870 0.547
Nb1 0.422 0.117 0.174
Nb2 0.422 0.383 0.674
Nb3 0.578 0.617 0.326
Nb4 0.578 0.883 0.826
P1 0.096 0.696 0.841
P2 0.096 0.804 0.341
P3 0.111 0.066 0.867
P4 0.111 0.434 0.367
P5 0.889 0.566 0.633
P6 0.889 0.934 0.133
P7 0.904 0.196 0.659
P8 0.904 0.304 0.159
O1 0.065 0.177 0.793
O2 0.065 0.323 0.293
O3 0.088 0.216 0.135
O4 0.088 0.284 0.635
O5 0.133 0.592 0.906
O6 0.133 0.908 0.406
O7 0.178 0.518 0.660
O8 0.178 0.982 0.160
O9 0.261 0.105 0.985
O10 0.261 0.395 0.485
O11 0.275 0.514 0.326
O12 0.275 0.986 0.826
O13 0.372 0.747 0.355
O14 0.372 0.753 0.855
O15 0.452 0.632 0.180
O16 0.452 0.868 0.680
O17 0.548 0.132 0.320
O18 0.548 0.368 0.820
O19 0.628 0.247 0.145
O20 0.628 0.253 0.645
O21 0.725 0.014 0.174
O22 0.725 0.486 0.674
O23 0.739 0.605 0.515
O24 0.739 0.895 0.015
O25 0.822 0.018 0.840
O26 0.822 0.482 0.340
O27 0.867 0.092 0.594
O28 0.867 0.408 0.094
O29 0.912 0.716 0.365
O30 0.912 0.784 0.865
O31 0.935 0.677 0.707
O32 0.935 0.823 0.207

---

First-principles (PBEsol) data for RbNbPO2 after structural relaxation, as listed in the Alexandria database.

Values from the calculation:
Space group: No. 123
N(E_F) (states/eV/f.u.): 5.34
Energy above the lowest structure with this stoichiometry (meV per atom): 2516

a b c (Å): 3.977 3.977 5.852
angles (deg): 90.00 90.00 90.00
Element x y z (fractional)
Rb1 0.000 0.000 0.000
Nb1 0.500 0.500 0.500
P1 0.000 0.000 0.500
O1 0.000 0.500 0.000
O2 0.500 0.000 0.000

---

First-principles (PBEsol) data for RbNbPO2 after structural relaxation, as listed in the Alexandria database.

Values from the calculation:
Space group: No. 123
N(E_F) (states/eV/f.u.): 2.38
Energy above the lowest structure with this stoichiometry (meV per atom): 0

a b c (Å): 4.091 4.091 5.024
angles (deg): 90.00 90.00 90.00
Element x y z (fractional)
Rb1 0.000 0.000 0.000
Nb1 0.500 0.500 0.500
P1 0.500 0.500 0.000
O1 0.000 0.500 0.500
O2 0.500 0.000 0.500

---

First-principles (PBEsol) data for NbReP2O after structural relaxation, as listed in the Alexandria database.

Values from the calculation:
Space group: No. 123
N(E_F) (states/eV/f.u.): 5.60

a b c (Å): 4.728 4.728 3.618
angles (deg): 90.00 90.00 90.00
Element x y z (fractional)
Nb1 0.000 0.000 0.000
Re1 0.500 0.500 0.500
P1 0.000 0.500 0.500
P2 0.500 0.000 0.500
O1 0.500 0.500 0.000

---

First-principles (PBEsol) data for NbP2SO after structural relaxation, as listed in the Alexandria database.

Values from the calculation:
Space group: No. 123
N(E_F) (states/eV/f.u.): 3.43
Energy above the lowest structure with this stoichiometry (meV per atom): 0

a b c (Å): 4.532 4.532 3.386
angles (deg): 90.00 90.00 90.00
Element x y z (fractional)
Nb1 0.000 0.000 0.000
P1 0.000 0.500 0.500
P2 0.500 0.000 0.500
S1 0.500 0.500 0.500
O1 0.500 0.500 0.000

---

First-principles (PBEsol) data for NbP2SO after structural relaxation, as listed in the Alexandria database.

Values from the calculation:
Space group: No. 123
N(E_F) (states/eV/f.u.): 6.69
Energy above the lowest structure with this stoichiometry (meV per atom): 545

a b c (Å): 4.793 4.793 4.619
angles (deg): 90.00 90.00 90.00
Element x y z (fractional)
Nb1 0.000 0.000 0.000
P1 0.000 0.500 0.000
P2 0.500 0.000 0.000
S1 0.000 0.000 0.500
O1 0.500 0.500 0.500

---

First-principles (PBEsol) data for NbSb3P6O24 after structural relaxation, as listed in the Alexandria database.

Values from the calculation:
Space group: No. 146

a b c (Å): 8.954 8.954 8.954
angles (deg): 57.29 57.29 57.29
Element x y z (fractional)
Nb1 0.000 0.000 0.000
Sb1 0.215 0.215 0.215
Sb2 0.500 0.500 0.500
Sb3 0.718 0.718 0.718
P1 0.083 0.396 0.856
P2 0.331 0.902 0.601
P3 0.396 0.856 0.083
P4 0.601 0.331 0.902
P5 0.856 0.083 0.396
P6 0.902 0.601 0.331
O1 0.000 0.256 0.905
O2 0.045 0.064 0.388
O3 0.053 0.397 0.351
O4 0.064 0.388 0.045
O5 0.138 0.987 0.742
O6 0.256 0.905 0.000
O7 0.284 0.354 0.721
O8 0.342 0.716 0.629
O9 0.351 0.053 0.397
O10 0.354 0.721 0.284
O11 0.388 0.045 0.064
O12 0.397 0.351 0.053
O13 0.495 0.883 0.636
O14 0.598 0.775 0.951
O15 0.629 0.342 0.716
O16 0.636 0.495 0.883
O17 0.716 0.629 0.342
O18 0.721 0.284 0.354
O19 0.742 0.138 0.987
O20 0.775 0.951 0.598
O21 0.883 0.636 0.495
O22 0.905 0.000 0.256
O23 0.951 0.598 0.775
O24 0.987 0.742 0.138

---

First-principles (PBEsol) data for ScNbP2O after structural relaxation, as listed in the Alexandria database.

Values from the calculation:
Space group: No. 123
N(E_F) (states/eV/f.u.): 1.03

a b c (Å): 4.865 4.865 3.830
angles (deg): 90.00 90.00 90.00
Element x y z (fractional)
Sc1 0.000 0.000 0.000
Nb1 0.500 0.500 0.500
P1 0.000 0.500 0.500
P2 0.500 0.000 0.500
O1 0.500 0.500 0.000

---

First-principles (PBEsol) data for NbTcP2O after structural relaxation, as listed in the Alexandria database.

Values from the calculation:
Space group: No. 123
N(E_F) (states/eV/f.u.): 5.05

a b c (Å): 4.706 4.706 3.559
angles (deg): 90.00 90.00 90.00
Element x y z (fractional)
Nb1 0.000 0.000 0.000
Tc1 0.500 0.500 0.500
P1 0.000 0.500 0.500
P2 0.500 0.000 0.500
O1 0.500 0.500 0.000

---

First-principles (PBEsol) data for TiNbP3O12 after structural relaxation, as listed in the Alexandria database.

Values from the calculation:
Space group: No. 161
N(E_F) (states/eV/f.u.): 0.00

a b c (Å): 8.919 8.919 8.919
angles (deg): 58.03 58.03 58.03
Element x y z (fractional)
Ti1 0.000 0.000 0.000
Ti2 0.500 0.500 0.500
Nb1 0.218 0.218 0.218
Nb2 0.718 0.718 0.718
P1 0.117 0.383 0.822
P2 0.322 0.883 0.617
P3 0.383 0.822 0.117
P4 0.617 0.322 0.883
P5 0.822 0.117 0.383
P6 0.883 0.617 0.322
O1 0.063 0.441 0.293
O2 0.088 0.214 0.854
O3 0.136 0.361 0.996
O4 0.148 0.915 0.789
O5 0.214 0.854 0.088
O6 0.289 0.415 0.648
O7 0.293 0.063 0.441
O8 0.354 0.714 0.588
O9 0.361 0.996 0.136
O10 0.415 0.648 0.289
O11 0.441 0.293 0.063
O12 0.496 0.861 0.636
O13 0.563 0.793 0.941
O14 0.588 0.354 0.714
O15 0.636 0.496 0.861
O16 0.648 0.289 0.415
O17 0.714 0.588 0.354
O18 0.789 0.148 0.915
O19 0.793 0.941 0.563
O20 0.854 0.088 0.214
O21 0.861 0.636 0.496
O22 0.915 0.789 0.148
O23 0.941 0.563 0.793
O24 0.996 0.136 0.361

---

First-principles (PBEsol) data for TiNb3P6O24 after structural relaxation, as listed in the Alexandria database.

Values from the calculation:
Space group: No. 146
N(E_F) (states/eV/f.u.): 8.65

a b c (Å): 8.987 8.987 8.987
angles (deg): 58.02 58.02 58.02
Element x y z (fractional)
Ti1 0.000 0.000 0.000
Nb1 0.217 0.217 0.217
Nb2 0.500 0.500 0.500
Nb3 0.717 0.717 0.717
P1 0.109 0.383 0.828
P2 0.320 0.890 0.616
P3 0.383 0.828 0.109
P4 0.616 0.320 0.890
P5 0.828 0.109 0.383
P6 0.890 0.616 0.320
O1 0.064 0.440 0.292
O2 0.086 0.214 0.855
O3 0.133 0.360 0.997
O4 0.148 0.917 0.788
O5 0.214 0.855 0.086
O6 0.281 0.417 0.652
O7 0.292 0.064 0.440
O8 0.352 0.719 0.587
O9 0.360 0.997 0.133
O10 0.417 0.652 0.281
O11 0.440 0.292 0.064
O12 0.495 0.862 0.633
O13 0.561 0.797 0.937
O14 0.587 0.352 0.719
O15 0.633 0.495 0.862
O16 0.652 0.281 0.417
O17 0.719 0.587 0.352
O18 0.788 0.148 0.917
O19 0.797 0.937 0.561
O20 0.855 0.086 0.214
O21 0.862 0.633 0.495
O22 0.917 0.788 0.148
O23 0.937 0.561 0.797
O24 0.997 0.133 0.360

---

First-principles (PBEsol) data for Ti3NbV2P6O24 after structural relaxation, as listed in the Alexandria database.

Values from the calculation:
Space group: No. 146
N(E_F) (states/eV/f.u.): 8.82

a b c (Å): 8.351 8.351 8.351
angles (deg): 63.08 63.08 63.08
Element x y z (fractional)
Ti1 0.000 0.000 0.000
Ti2 0.224 0.224 0.224
Ti3 0.725 0.725 0.725
Nb1 0.499 0.499 0.499
V1 0.368 0.368 0.368
V2 0.865 0.865 0.865
P1 0.103 0.405 0.831
P2 0.322 0.911 0.610
P3 0.405 0.831 0.103
P4 0.610 0.322 0.911
P5 0.831 0.103 0.405
P6 0.911 0.610 0.322
O1 0.029 0.250 0.873
O2 0.109 0.457 0.311
O3 0.124 0.923 0.763
O4 0.183 0.364 0.982
O5 0.250 0.873 0.029
O6 0.257 0.417 0.631
O7 0.311 0.109 0.457
O8 0.360 0.757 0.533
O9 0.364 0.982 0.183
O10 0.417 0.631 0.257
O11 0.457 0.311 0.109
O12 0.481 0.862 0.683
O13 0.533 0.360 0.757
O14 0.604 0.815 0.954
O15 0.631 0.257 0.417
O16 0.683 0.481 0.862
O17 0.757 0.533 0.360
O18 0.763 0.124 0.923
O19 0.815 0.954 0.604
O20 0.862 0.683 0.481
O21 0.873 0.029 0.250
O22 0.923 0.763 0.124
O23 0.954 0.604 0.815
O24 0.982 0.183 0.364

---

Number 1: ΔE_f (raw) -28.320 eV/f.u.. Number 2: ΔE_f (raw) 6.352 eV/f.u.. Number 3: ΔE_f (raw) -6.228 eV/f.u.. Number 4: ΔE_f (raw) 0.476 eV/f.u.. Number 5: ΔE_f (raw) 1.121 eV/f.u.. Number 6: ΔE_f (raw) 3.846 eV/f.u.. Number 7: ΔE_f (raw) -68.147 eV/f.u.. Number 8: ΔE_f (raw) -4.465 eV/f.u.. Number 9: ΔE_f (raw) 0.038 eV/f.u.. Number 10: ΔE_f (raw) -42.257 eV/f.u.. Number 11: ΔE_f (raw) -82.470 eV/f.u.. Number 12: ΔE_f (raw) -85.502 eV/f.u..